Entry a
Density functional theory data (PBE-GGA) for AsPOs after structural relaxation.

Unit cell a=2.9942 b=5.3073 c=6.0907 alpha=90.00 beta=90.00 gamma=90.00
Space group Pmn2_1 (No. 31)
Unique sites:
1 As 0.0000 0.0880 0.0000 [2 per cell]
2 P 0.0000 0.4232 0.2631 [2 per cell]
3 Os 0.0000 0.2684 0.6238 [2 per cell]

Output
crystal system = orthorhombic



Entry b
Density functional theory data (PBE-GGA) for AsPOs after structural relaxation.

Unit cell a=5.3011 b=2.9992 c=6.0972 alpha=90.00 beta=92.05 gamma=90.00
Space group P2/m (No. 10)
Unique sites:
1 As 0.1711 0.0000 0.1366 [2 per cell]
2 P 0.3351 0.5000 0.6280 [2 per cell]
3 Os 0.0000 0.0000 0.5000 [1 per cell]
4 Os 0.5000 0.5000 0.0000 [1 per cell]

Output
crystal system = monoclinic



Most stable: entry a



Entry a
Density functional theory data (PBE-GGA) for Sr2ZnAsP after structural relaxation.

Unit cell a=4.2863 b=16.5276 c=7.4392 alpha=90.00 beta=90.00 gamma=90.00
Space group Cmc2_1 (No. 36)
Unique sites:
1 Sr 0.0000 0.0324 0.0000 [4 per cell]
2 Sr 0.0000 0.2021 0.6773 [4 per cell]
3 Zn 0.0000 0.4074 0.8593 [4 per cell]
4 As 0.0000 0.1674 0.2718 [4 per cell]
5 P 0.0000 0.4399 0.2029 [4 per cell]

Output
crystal system = orthorhombic



Entry b
Density functional theory data (PBE-GGA) for Sr2ZnAsP after structural relaxation.

Unit cell a=4.2647 b=16.2261 c=7.6241 alpha=90.00 beta=90.00 gamma=90.00
Space group Cmc2_1 (No. 36)
Unique sites:
1 Sr 0.0000 0.0356 0.0000 [4 per cell]
2 Sr 0.0000 0.2101 0.6547 [4 per cell]
3 Zn 0.0000 0.4046 0.8502 [4 per cell]
4 As 0.0000 0.4352 0.2028 [4 per cell]
5 P 0.0000 0.1656 0.2733 [4 per cell]

Output
crystal system = orthorhombic



Most stable: entry b



Entry a
Density functional theory data (PBE-GGA) for PaAs after structural relaxation.

Unit cell a=5.7923 b=5.7923 c=5.7923 alpha=90.00 beta=90.00 gamma=90.00
Space group Fm-3m (No. 225)
Unique sites:
1 Pa 0.0000 0.0000 0.0000 [4 per cell]
2 As 0.0000 0.0000 0.5000 [4 per cell]

Output
crystal system = cubic



Entry b
Density functional theory data (PBE-GGA) for PaAs after structural relaxation.

Unit cell a=3.7401 b=3.7401 c=3.9357 alpha=90.00 beta=90.00 gamma=120.00
Space group P-6m2 (No. 187)
Unique sites:
1 Pa 0.0000 0.0000 0.0000 [1 per cell]
2 As 0.3333 0.6667 0.5000 [1 per cell]

Output
crystal system = hexagonal



Most stable: entry a